*1*
This record from Alexandria describes an optimized crystal structure of AcPm2Pd. The functional is PBE-GGA.

Values from the calculation:
For the density of states at the Fermi level, the calculation gives 26.56 states/eV/cell. As for the calculated density: 8.99 g/cm3. As for the volume: 460.4 Å³ per cell.

abc: 7.722 7.722 7.722
angles: 90.00 90.00 90.00
Space group Fm-3m (No. 225)
One atom of each set of equivalent atoms:
Ac: 0.000 0.000 0.000
Pm: 0.250 0.250 0.250
Pd: 0.000 0.000 0.500


*2*
This record from Alexandria describes an optimized crystal structure of AcPm2Pd. The functional is PBE-GGA.

Values from the calculation:
For the density of states at the Fermi level, the calculation gives 5.05 states/eV/cell. As for the calculated density: 8.67 g/cm3. As for the volume: 119.3 Å³ per cell.

abc: 5.557 5.557 3.865
angles: 90.00 90.00 90.00
Space group P4/mmm (No. 123)
One atom of each set of equivalent atoms:
Ac: 0.000 0.000 0.000
Pm: 0.000 0.500 0.500
Pd: 0.500 0.500 0.000


Calculated relative energies: *1* 55; *2* 0, given in meV/atom